First-principles (PBE-GGA) data for an optimized crystal structure of Na2UOsO8, as listed in the Alexandria database.

Values from the calculation:
V (A^3/atom): 14.41
Formation energy (no corrections) (eV/atom): -1.8549

abc: 5.153 6.503 5.165
angles: 90.00 92.73 90.00
Space group P2/m (No. 10)
Unique sites:
1 Na 0.000 0.240 0.000 x2
2 U 0.500 0.500 0.500 x1
3 Os 0.500 0.000 0.500 x1
4 O 0.238 0.500 0.237 x2
5 O 0.247 0.000 0.246 x2
6 O 0.328 0.220 0.670 x4